(1)
A relaxed Mn2GaGe crystal. Source: Alexandria via LeMat-Bulk, functional PBE.

Summary:
Density   7.65 g cm⁻³
M_tot   0.9 Bohr magnetons per cell
Fermi-level density of states   2.46 states/eV/f.u.
Energy relative to the elements   -0.12 eV per atom

```
data_Mn2GaGe
_space_group_name_H-M_alt 'I 4 m m'
_space_group_IT_number 107
_space_group_name_Hall 'I 4 -2'
_cell_length_a 2.750
_cell_length_b 2.750
_cell_length_c 14.474
_cell_angle_alpha 90.00
_cell_angle_beta 90.00
_cell_angle_gamma 90.00
loop_
_atom_site_label
_atom_site_type_symbol
_atom_site_fract_x
_atom_site_fract_y
_atom_site_fract_z
_atom_site_occupancy
Mn1 Mn 0.000 0.000 0.000 1
Mn2 Mn 0.000 0.000 0.404 1
Ga1 Ga 0.000 0.000 0.788 1
Ge1 Ge 0.000 0.000 0.613 1
```

(2)
A relaxed Mn2GaGe crystal. Source: Alexandria via LeMat-Bulk, functional PBE.

Summary:
Density   7.39 g cm⁻³
M_tot   0.4 Bohr magnetons per cell
Fermi-level density of states   3.76 states/eV/f.u.
Energy relative to the elements   0.10 eV per atom

```
data_Mn2GaGe
_space_group_name_H-M_alt 'R 3 m'
_space_group_IT_number 160
_space_group_name_Hall 'R 3 -2"'
_cell_length_a 2.7983
_cell_length_b 2.7983
_cell_length_c 25.0750
_cell_angle_alpha 90.00
_cell_angle_beta 90.00
_cell_angle_gamma 120.00
loop_
_atom_site_label
_atom_site_type_symbol
_atom_site_fract_x
_atom_site_fract_y
_atom_site_fract_z
_atom_site_occupancy
Mn1 Mn 0.0000 0.0000 0.0000 1
Mn2 Mn 0.0000 0.0000 0.4075 1
Ga1 Ga 0.0000 0.0000 0.2538 1
Ge1 Ge 0.0000 0.0000 0.1520 1
```

(3)
A relaxed Mn6Ga2GeN crystal. Source: Alexandria via LeMat-Bulk, functional PBE.

Summary:
Density   6.09 g cm⁻³
M_tot   17.9 Bohr magnetons per cell
Fermi-level density of states   8.32 states/eV/f.u.
Final energy   -7.043 eV/atom

```
data_Mn6Ga2GeN
_space_group_name_H-M_alt 'P 4/m m m'
_space_group_IT_number 123
_space_group_name_Hall '-P 4 2'
_cell_length_a 4.293
_cell_length_b 4.293
_cell_length_c 8.226
_cell_angle_alpha 90.00
_cell_angle_beta 90.00
_cell_angle_gamma 90.00
loop_
_atom_site_label
_atom_site_type_symbol
_atom_site_fract_x
_atom_site_fract_y
_atom_site_fract_z
_atom_site_occupancy
Mn1 Mn 0.000 0.000 0.221 1
Mn2 Mn 0.000 0.500 0.000 1
Mn3 Mn 0.000 0.500 0.500 1
Ga1 Ga 0.500 0.500 0.252 1
Ge1 Ge 0.000 0.000 0.500 1
N1 N 0.000 0.000 0.000 1
```

(4)
A relaxed NaMnGaGe2 crystal. Source: Alexandria via LeMat-Bulk, functional PBE.

Summary:
Density   4.85 g cm⁻³
M_tot   0.8 Bohr magnetons per cell
Fermi-level density of states   3.01 states/eV/f.u.
Energy relative to the elements   -0.01 eV per atom

```
data_NaMnGaGe2
_space_group_name_H-M_alt 'P 4/m m m'
_space_group_IT_number 123
_space_group_name_Hall '-P 4 2'
_cell_length_a 4.625
_cell_length_b 4.625
_cell_length_c 4.693
_cell_angle_alpha 90.00
_cell_angle_beta 90.00
_cell_angle_gamma 90.00
loop_
_atom_site_label
_atom_site_type_symbol
_atom_site_fract_x
_atom_site_fract_y
_atom_site_fract_z
_atom_site_occupancy
Na1 Na 0.000 0.000 0.000 1
Mn1 Mn 0.500 0.500 0.500 1
Ga1 Ga 0.500 0.500 0.000 1
Ge1 Ge 0.000 0.500 0.500 1
```

(5)
A relaxed MnGa2Ni7Ge2 crystal. Source: Alexandria via LeMat-Bulk, functional PBE.

Summary:
Density   7.73 g cm⁻³
M_tot   7.8 Bohr magnetons per cell
Fermi-level density of states   12.07 states/eV/f.u.
Energy relative to the elements   -0.05 eV per atom

```
data_MnGa2Ni7Ge2
_space_group_name_H-M_alt 'C 1 2/m 1'
_space_group_IT_number 12
_space_group_name_Hall '-C 2y'
_cell_length_a 4.835
_cell_length_b 4.836
_cell_length_c 13.987
_cell_angle_alpha 90.00
_cell_angle_beta 99.81
_cell_angle_gamma 90.00
loop_
_atom_site_label
_atom_site_type_symbol
_atom_site_fract_x
_atom_site_fract_y
_atom_site_fract_z
_atom_site_occupancy
Mn1 Mn 0.000 0.000 0.000 1
Ga1 Ga 0.131 0.500 0.264 1
Ni1 Ni 0.000 0.500 0.000 1
Ni2 Ni 0.184 0.250 0.865 1
Ni3 Ni 0.221 0.500 0.444 1
Ge1 Ge 0.192 0.000 0.384 1
```

Q: Number 5 is which compound?
A: MnGa2Ni7Ge2